[1]
PBE Sm2AlZn4Ga3, optimized geometry; formation energy = -10.6 kcal/mol of atoms
1.0
4.2016 0.0000 0.0000
0.0000 4.2016 0.0000
0.0000 0.0000 10.6776
Sm Al Zn Ga
2 1 4 3
Direct
0.0000 0.5000 0.2485
0.5000 0.0000 0.7515
0.0000 0.0000 0.5000
0.0000 0.0000 0.0000
0.0000 0.5000 0.6384
0.5000 0.0000 0.3616
0.5000 0.5000 0.0000
0.0000 0.5000 0.8648
0.5000 0.0000 0.1352
0.5000 0.5000 0.5000


[2]
PBE Sm4AlZn2Ga, optimized geometry; formation energy = -9.3 kcal/mol of atoms
1.0
2.5893 1.4949 8.4573
-2.5893 1.4949 8.4573
0.0000 -2.9899 8.4573
Sm Al Zn Ga
4 1 2 1
Direct
0.1237 0.1237 0.1237
0.3738 0.3738 0.3738
0.6262 0.6262 0.6262
0.8763 0.8763 0.8763
0.5000 0.5000 0.5000
0.2473 0.2473 0.2473
0.7527 0.7527 0.7527
0.0000 0.0000 0.0000


[3]
PBE SmZrAlGa, optimized geometry; formation energy = -7.7 kcal/mol of atoms
1.0
0.0000 3.5216 3.5216
3.5216 0.0000 3.5216
3.5216 3.5216 0.0000
Sm Zr Al Ga
1 1 1 1
Direct
0.0000 0.0000 0.0000
0.5000 0.5000 0.5000
0.2500 0.2500 0.2500
0.7500 0.7500 0.7500


[4]
PBE Al2GaSn, optimized geometry; formation energy = 4.2 kcal/mol of atoms
1.0
1.8740 1.0819 7.0877
-1.8740 1.0819 7.0877
0.0000 -2.1639 7.0877
Al Ga Sn
2 1 1
Direct
0.2403 0.2403 0.2403
0.7597 0.7597 0.7597
0.5000 0.5000 0.5000
0.0000 0.0000 0.0000


[5]
PBE Al2Ga2Sn, optimized geometry; formation energy = 1.8 kcal/mol of atoms
1.0
8.1731 0.0000 0.0000
0.0000 8.1731 0.0000
0.0000 0.0000 2.9569
Al Ga Sn
4 4 2
Direct
0.1352 0.3648 0.0000
0.3648 0.8648 0.0000
0.6352 0.1352 0.0000
0.8648 0.6352 0.0000
0.1591 0.6591 0.5000
0.3409 0.1591 0.5000
0.6591 0.8409 0.5000
0.8409 0.3409 0.5000
0.0000 0.0000 0.5000
0.5000 0.5000 0.5000


[6]
PBE AlGa14Sn, optimized geometry; formation energy = 0.7 kcal/mol of atoms
1.0
5.7318 0.0000 0.0000
0.0000 5.7318 0.0000
0.0000 0.0000 9.3592
Al Ga Sn
1 14 1
Direct
0.0000 0.0000 0.0000
0.0000 0.0000 0.5000
0.0000 0.5000 0.0000
0.0000 0.5000 0.5000
0.2474 0.2474 0.2543
0.2474 0.2474 0.7457
0.2474 0.7526 0.2543
0.2474 0.7526 0.7457
0.5000 0.0000 0.0000
0.5000 0.0000 0.5000
0.5000 0.5000 0.5000
0.7526 0.2474 0.2543
0.7526 0.2474 0.7457
0.7526 0.7526 0.2543
0.7526 0.7526 0.7457
0.5000 0.5000 0.0000


[7]
PBE Al3GaSn, optimized geometry; formation energy = 20.0 kcal/mol of atoms
1.0
5.2999 0.0000 0.0000
0.0000 5.2999 0.0000
0.0000 0.0000 5.2999
Al Ga Sn
3 1 1
Direct
0.0000 0.0000 0.5000
0.0000 0.5000 0.0000
0.5000 0.0000 0.0000
0.5000 0.5000 0.5000
0.0000 0.0000 0.0000


[8]
PBE Al2Ga2Sn, optimized geometry; formation energy = 1.7 kcal/mol of atoms
1.0
-2.1304 2.1304 5.6164
2.1304 -2.1304 5.6164
2.1304 2.1304 -5.6164
Al Ga Sn
2 2 1
Direct
0.2500 0.7500 0.5000
0.7500 0.2500 0.5000
0.1103 0.1103 0.0000
0.8897 0.8897 0.0000
0.5000 0.5000 0.0000